Record 1
A plane-wave DFT calculation with GGA-PBE was carried out for a geometry-optimized ZrTa2C structure.

Cell: 3.3749 4.2507 4.4495 Å, 90.00 90.00 90.00°
Element x y z (fractional)
Zr  0.0000  0.0000  0.0000
Ta  0.0000  0.5000  0.5000
Ta  0.5000  0.0000  0.5000
C  0.5000  0.5000  0.0000

Calculated values
The value obtained for the energy of formation from the pure elements is 778.9 meV per atom. The theoretical density is 12.1 Mg/m³.

***

Record 2
A plane-wave DFT calculation with GGA-PBE was carried out for a geometry-optimized Sc3TiCr structure.

Cell: 4.8094 4.8094 4.8094 Å, 90.00 90.00 90.00°
Element x y z (fractional)
Sc  0.0000  0.0000  0.5000
Sc  0.0000  0.5000  0.0000
Sc  0.5000  0.0000  0.0000
Ti  0.5000  0.5000  0.5000
Cr  0.0000  0.0000  0.0000

Calculated values
Its energy relative to the lowest polymorph listed for this composition is 0.0000 eV per atom. The value obtained for the energy of formation from the pure elements is 634.4 meV per atom. The theoretical density is 3.5 Mg/m³.

***

Record 3
A plane-wave DFT calculation with GGA-PBE was carried out for a geometry-optimized KTiIn structure.

Cell: 5.2869 5.2869 8.0649 Å, 90.00 90.00 120.00°
Element x y z (fractional)
K  0.0000  0.0000  0.0000
K  0.0000  0.0000  0.5000
Ti  0.3333  0.6667  0.1618
Ti  0.3333  0.6667  0.8382
In  0.6667  0.3333  0.1969
In  0.6667  0.3333  0.8030

Calculated values
Its energy relative to the lowest polymorph listed for this composition is 0.5330 eV per atom. The value obtained for the energy of formation from the pure elements is 573.3 meV per atom. The theoretical density is 3.4 Mg/m³.

***

Record 4
A plane-wave DFT calculation with GGA-PBE was carried out for a geometry-optimized Nb3CoOs structure.

Cell: 4.5057 4.5057 4.5057 Å, 90.00 90.00 90.00°
Element x y z (fractional)
Nb  0.0000  0.0000  0.5000
Nb  0.0000  0.5000  0.0000
Nb  0.5000  0.0000  0.0000
Co  0.0000  0.0000  0.0000
Os  0.5000  0.5000  0.5000

Calculated values
Its energy relative to the lowest polymorph listed for this composition is 0.0000 eV per atom. The value obtained for the energy of formation from the pure elements is 892.6 meV per atom. The theoretical density is 9.6 Mg/m³.

***

Record 5
A plane-wave DFT calculation with GGA-PBE was carried out for a geometry-optimized La4SiBiC structure.

Cell: 9.1630 9.1630 7.0979 Å, 90.00 90.00 134.52°
Element x y z (fractional)
La  0.0000  0.5000  0.0000
La  0.0000  0.5000  0.5000
La  0.0680  0.9320  0.7500
La  0.4125  0.5875  0.7500
La  0.5000  0.0000  0.0000
La  0.5000  0.0000  0.5000
La  0.5875  0.4125  0.2500
La  0.9320  0.0680  0.2500
Si  0.1153  0.8847  0.2500
Si  0.8847  0.1153  0.7500
Bi  0.3911  0.6089  0.2500
Bi  0.6089  0.3911  0.7500
C  0.2718  0.7282  0.7500
C  0.7282  0.2718  0.2500

Calculated values
For the uncorrected energy, the calculation gives -5.96 eV per atom. The theoretical density is 6.3 Mg/m³.

***

Record 6
A plane-wave DFT calculation with GGA-PBE was carried out for a geometry-optimized Nb5Al3Ir12 structure.

Cell: 12.6391 12.6391 12.6391 Å, 109.47 109.47 109.47°
Element x y z (fractional)
Nb  0.0000  0.0000  0.0000
Nb  0.0000  0.0000  0.5000
Nb  0.0000  0.5000  0.0000
Nb  0.0000  0.5000  0.5000
Nb  0.1250  0.7500  0.8750
Nb  0.1250  0.8750  0.2500
Nb  0.2500  0.1250  0.8750
Nb  0.2500  0.6250  0.3750
Nb  0.3750  0.2500  0.6250
Nb  0.3750  0.6250  0.7500
Nb  0.5000  0.0000  0.0000
Nb  0.5000  0.0000  0.5000
Nb  0.5000  0.5000  0.0000
Nb  0.5000  0.5000  0.5000
Nb  0.6250  0.3750  0.2500
Nb  0.6250  0.7500  0.3750
Nb  0.7500  0.3750  0.6250
Nb  0.7500  0.8750  0.1250
Nb  0.8750  0.1250  0.7500
Nb  0.8750  0.2500  0.1250
Al  0.1250  0.2500  0.3750
Al  0.1250  0.3750  0.7500
Al  0.2500  0.3750  0.1250
Al  0.2500  0.8750  0.6250
Al  0.3750  0.1250  0.2500
Al  0.3750  0.7500  0.1250
Al  0.6250  0.2500  0.8750
Al  0.6250  0.8750  0.7500
Al  0.7500  0.1250  0.3750
Al  0.7500  0.6250  0.8750
Al  0.8750  0.6250  0.2500
Al  0.8750  0.7500  0.6250
Ir  0.0632  0.6326  0.3951
Ir  0.0632  0.9306  0.6681
Ir  0.0694  0.2375  0.1326
Ir  0.0694  0.3319  0.9368
Ir  0.1049  0.7375  0.6681
Ir  0.1049  0.8674  0.4368
Ir  0.1326  0.0694  0.2375
Ir  0.1326  0.5632  0.8951
Ir  0.1681  0.2375  0.6049
Ir  0.1681  0.4306  0.5632
Ir  0.2375  0.1326  0.0694
Ir  0.2375  0.6049  0.1681
Ir  0.2625  0.3319  0.8951
Ir  0.2625  0.4306  0.3674
Ir  0.3319  0.8951  0.2625
Ir  0.3319  0.9368  0.0694
Ir  0.3674  0.2625  0.4306
Ir  0.3674  0.6049  0.9368
Ir  0.3951  0.0632  0.6326
Ir  0.3951  0.8319  0.7625
Ir  0.4306  0.3674  0.2625
Ir  0.4306  0.5632  0.1681
Ir  0.4368  0.1049  0.8674
Ir  0.4368  0.8319  0.5694
Ir  0.5632  0.1681  0.4306
Ir  0.5632  0.8951  0.1326
Ir  0.5694  0.4368  0.8319
Ir  0.5694  0.6326  0.7375
Ir  0.6049  0.1681  0.2375
Ir  0.6049  0.9368  0.3674
Ir  0.6326  0.3951  0.0632
Ir  0.6326  0.7375  0.5694
Ir  0.6681  0.0632  0.9306
Ir  0.6681  0.1049  0.7375
Ir  0.7375  0.5694  0.6326
Ir  0.7375  0.6681  0.1049
Ir  0.7625  0.3951  0.8319
Ir  0.7625  0.8674  0.9306
Ir  0.8319  0.5694  0.4368
Ir  0.8319  0.7625  0.3951
Ir  0.8674  0.4368  0.1049
Ir  0.8674  0.9306  0.7625
Ir  0.8951  0.1326  0.5632
Ir  0.8951  0.2625  0.3319
Ir  0.9306  0.6681  0.0632
Ir  0.9306  0.7625  0.8674
Ir  0.9368  0.0694  0.3319
Ir  0.9368  0.3674  0.6049

Calculated values
The value obtained for the energy of formation from the pure elements is 313.8 meV per atom. The theoretical density is 12.2 Mg/m³.

***

- Which of these has the highest theoretical density?
  Nb5Al3Ir12

***

- theoretical density of number 6 (Nb5Al3Ir12)?
  12.2 Mg/m³

***

- The lowest theoretical density belongs to which entry?
  KTiIn

***

- Number 1 is which compound?
  ZrTa2C